{"formula": "CaGd3Re", "functional": "PBE-GGA", "state": "optimized geometry", "lattice_angstrom": [[-0.0581, -5.3239, 1.4600], [5.5002, -0.1806, -0.4399], [0.4720, 1.4499, 5.3060]], "species": ["Re", "Ca", "Gd", "Gd", "Gd"], "fractional_positions": [[0.0000, 0.0000, 0.0000], [0.5000, 0.5000, 0.5000], [0.0000, 0.5000, 0.0000], [0.0000, 0.0000, 0.5000], [0.5000, 0.0000, 0.0000]], "n_ef_per_ev_cell": 3.75, "total_energy_ev_per_atom": -11.191, "formation_enthalpy_0k_kj_per_mol_atoms": 14.3}

=====

{"formula": "CaGdRh", "functional": "PBE-GGA", "state": "optimized geometry", "lattice_angstrom": [[-1.0365, 5.3278, 3.6435], [-3.8648, -0.0511, -1.0248], [1.2338, -1.9806, 3.2472]], "species": ["Ca", "Gd", "Rh"], "fractional_positions": [[0.7513, 0.6667, 0.3333], [0.2335, 0.3333, 0.6667], [0.0151, 0.0000, 0.0000]], "e_above_lowest_polymorph_kcal_per_mol_atoms": 1.63, "n_ef_per_ev_cell": 1.02, "total_energy_ev_per_atom": -8.208, "formation_enthalpy_0k_kj_per_mol_atoms": -38.3}

=====

{"formula": "CaGd2Rh", "functional": "PBE-GGA", "state": "optimized geometry", "lattice_angstrom": [[3.9805, 0.0000, 0.0000], [1.9902, 3.4472, 0.0000], [1.9902, 1.1491, 9.5617]], "species": ["Ca", "Gd", "Gd", "Rh"], "fractional_positions": [[0.5000, 0.5000, 0.5000], [0.2795, 0.2795, 0.1616], [0.7205, 0.7205, 0.8384], [0.0000, 0.0000, 0.0000]], "e_above_lowest_polymorph_kcal_per_mol_atoms": 0.00, "n_ef_per_ev_cell": 4.71, "total_energy_ev_per_atom": -9.754, "formation_enthalpy_0k_kj_per_mol_atoms": -36.2}

=====

{"formula": "CaGdRh4", "functional": "PBE-GGA", "state": "optimized geometry", "lattice_angstrom": [[5.3550, 0.0000, 0.0000], [2.6775, 4.6376, 0.0000], [2.6775, 1.5459, 4.3724]], "species": ["Ca", "Gd", "Rh", "Rh", "Rh", "Rh"], "fractional_positions": [[0.0000, 0.0000, 0.0000], [0.2500, 0.2500, 0.2500], [0.6250, 0.6250, 0.1249], [0.6250, 0.1249, 0.6250], [0.6250, 0.6250, 0.6250], [0.1249, 0.6250, 0.6250]], "n_ef_per_ev_cell": 2.92, "total_energy_ev_per_atom": -8.176, "formation_enthalpy_0k_kj_per_mol_atoms": -57.3}

=====

{"formula": "CaGdRh", "functional": "PBE-GGA", "state": "optimized geometry", "lattice_angstrom": [[-3.3408, 0.0537, 0.9416], [0.9221, -0.5413, 3.3026], [1.5859, 6.7682, -1.1579]], "species": ["Ca", "Gd", "Rh"], "fractional_positions": [[0.0343, 0.0343, 0.0687], [0.2898, 0.2898, 0.5797], [0.6758, 0.6758, 0.3517]], "e_above_lowest_polymorph_kcal_per_mol_atoms": 0.00, "n_ef_per_ev_cell": 1.85, "total_energy_ev_per_atom": -8.279, "formation_enthalpy_0k_kj_per_mol_atoms": -45.1}

=====

{"formula": "CaGd3Rh", "functional": "PBE-GGA", "state": "optimized geometry", "lattice_angstrom": [[-3.5890, 2.0959, 3.6195], [2.2401, -3.0645, 3.9957], [3.5321, 4.0732, 1.1437]], "species": ["Ca", "Gd", "Gd", "Gd", "Rh"], "fractional_positions": [[0.5000, 0.5000, 0.5000], [0.0000, 0.5000, 0.0000], [0.0000, 0.0000, 0.5000], [0.5000, 0.0000, 0.0000], [0.0000, 0.0000, 0.0000]], "n_ef_per_ev_cell": 8.64, "total_energy_ev_per_atom": -10.596, "formation_enthalpy_0k_kj_per_mol_atoms": -26.7}

=====

{"formula": "CaGd2Rh", "functional": "PBE-GGA", "state": "optimized geometry", "lattice_angstrom": [[-2.8076, 0.2201, 2.1458], [-1.0661, -3.2035, -1.0662], [4.9536, -3.9403, 6.8856]], "species": ["Ca", "Gd", "Gd", "Rh"], "fractional_positions": [[0.5000, 0.5000, 0.5000], [0.0000, 0.0000, 0.8267], [0.0000, 0.0000, 0.1733], [0.5000, 0.5000, 0.0000]], "e_above_lowest_polymorph_kcal_per_mol_atoms": 0.15, "n_ef_per_ev_cell": 4.08, "total_energy_ev_per_atom": -9.747, "formation_enthalpy_0k_kj_per_mol_atoms": -35.6}

=====

{"formula": "CaGdRh", "functional": "PBE-GGA", "state": "optimized geometry", "lattice_angstrom": [[-2.8258, -1.5511, -3.6210], [0.3780, -4.5662, -1.5844], [-3.5535, -3.1760, 0.8882]], "species": ["Ca", "Gd", "Rh"], "fractional_positions": [[0.5000, 0.5000, 0.5000], [0.0000, 0.0000, 0.0000], [0.2500, 0.2500, 0.2500]], "e_above_lowest_polymorph_kcal_per_mol_atoms": 0.83, "n_ef_per_ev_cell": 1.70, "total_energy_ev_per_atom": -8.243, "formation_enthalpy_0k_kj_per_mol_atoms": -41.6}

=====

{"formula": "CaGdRuRh", "functional": "PBE-GGA", "state": "optimized geometry", "lattice_angstrom": [[-0.8548, -3.6772, 3.0251], [-2.1582, -4.0145, -1.6215], [2.5244, -4.1064, -0.4101]], "species": ["Ru", "Ca", "Gd", "Rh"], "fractional_positions": [[0.7500, 0.7500, 0.7500], [0.0000, 0.0000, 0.0000], [0.5000, 0.5000, 0.5000], [0.2500, 0.2500, 0.2500]], "n_ef_per_ev_cell": 3.44, "total_energy_ev_per_atom": -8.400, "formation_enthalpy_0k_kj_per_mol_atoms": -21.5}

=====

{"formula": "CaGdSnRh", "functional": "PBE-GGA", "state": "optimized geometry", "lattice_angstrom": [[-3.1748, 2.0475, -3.4793], [-4.8122, 1.2182, 1.3174], [-1.3891, 4.9300, 0.3782]], "species": ["Ca", "Gd", "Rh", "Sn"], "fractional_positions": [[0.5000, 0.5000, 0.5000], [0.0000, 0.0000, 0.0000], [0.7500, 0.7500, 0.7500], [0.2500, 0.2500, 0.2500]], "n_ef_per_ev_cell": 2.60, "total_energy_ev_per_atom": -7.397, "formation_enthalpy_0k_kj_per_mol_atoms": -51.9}

=====

{"formula": "CaGdTlRh", "functional": "PBE-GGA", "state": "optimized geometry", "lattice_angstrom": [[5.1507, 0.0000, 0.0000], [2.5754, 4.4607, 0.0000], [2.5754, 1.4869, 4.2056]], "species": ["Tl", "Gd", "Rh", "Ca"], "fractional_positions": [[0.0000, 0.0000, 0.0000], [0.7500, 0.7500, 0.7500], [0.5000, 0.5000, 0.5000], [0.2500, 0.2500, 0.2500]], "n_ef_per_ev_cell": 3.40, "total_energy_ev_per_atom": -6.837, "formation_enthalpy_0k_kj_per_mol_atoms": -37.4}

=====

{"formula": "CaGd2Ru", "functional": "PBE-GGA", "state": "optimized geometry", "lattice_angstrom": [[-2.9828, -2.0192, -1.7194], [0.8044, -2.9093, -2.6115], [-0.5412, -7.9004, 5.5846]], "species": ["Ru", "Ca", "Gd", "Gd"], "fractional_positions": [[0.0000, 0.0000, 0.0000], [0.5000, 0.5000, 0.5000], [0.2801, 0.2801, 0.1598], [0.7199, 0.7199, 0.8402]], "e_above_lowest_polymorph_kcal_per_mol_atoms": 2.04, "n_ef_per_ev_cell": 2.94, "total_energy_ev_per_atom": -9.957, "formation_enthalpy_0k_kj_per_mol_atoms": -9.4}

=====

{"formula": "CaGd2Ru", "functional": "PBE-GGA", "state": "optimized geometry", "lattice_angstrom": [[3.4643, 0.0000, 0.0000], [0.0000, 3.4643, 0.0000], [0.0000, 0.0000, 9.6512]], "species": ["Ru", "Ca", "Gd", "Gd"], "fractional_positions": [[0.5000, 0.5000, 0.0000], [0.5000, 0.5000, 0.5000], [0.0000, 0.0000, 0.8281], [0.0000, 0.0000, 0.1719]], "e_above_lowest_polymorph_kcal_per_mol_atoms": 0.00, "n_ef_per_ev_cell": 3.41, "total_energy_ev_per_atom": -10.046, "formation_enthalpy_0k_kj_per_mol_atoms": -17.9}

=====

{"formula": "CaSmGdRu", "functional": "PBE-GGA", "state": "optimized geometry", "lattice_angstrom": [[5.2172, 0.0000, 0.0000], [2.6086, 4.5182, 0.0000], [2.6086, 1.5061, 4.2598]], "species": ["Ru", "Ca", "Gd", "Sm"], "fractional_positions": [[0.2500, 0.2500, 0.2500], [0.7500, 0.7500, 0.7500], [0.5000, 0.5000, 0.5000], [0.0000, 0.0000, 0.0000]], "n_ef_per_ev_cell": 3.40, "total_energy_ev_per_atom": -7.430, "formation_enthalpy_0k_kj_per_mol_atoms": 8.6}

=====

{"formula": "CaGdS2", "functional": "PBE-GGA", "state": "optimized geometry", "lattice_angstrom": [[-0.0815, 3.7720, -1.2816], [-2.8579, -0.9484, -2.6096], [-3.9381, 1.2286, 3.8663]], "species": ["Ca", "Gd", "S", "S"], "fractional_positions": [[0.0000, 0.0000, 0.0000], [0.5000, 0.5000, 0.5000], [0.0000, 0.0000, 0.5000], [0.5000, 0.5000, 0.0000]], "e_above_lowest_polymorph_kcal_per_mol_atoms": 0.00, "n_ef_per_ev_cell": 2.52, "total_energy_ev_per_atom": -8.168}